A plane-wave DFT calculation with PBE was carried out for a geometry-optimized LaSi3P structure.

Cell lengths 5.503, 5.503, 5.503 Å; angles 90.00, 90.00, 90.00 degrees
Fractional positions:
Si 0.000 0.000 0.500
Si 0.000 0.500 0.000
Si 0.500 0.000 0.000
La 0.000 0.000 0.000
P 0.500 0.500 0.500

**Energy above the lowest structure with this stoichiometry**: 1.628 eV/atom
**Energy relative to the elements, uncorrected**: 1.804 eV/atom
**Space-group type**: Pm-3m, No. 221